(1)
DFT (GGA-PBE) results for crystalline SmDy2C3 at its relaxed geometry. Values from VASP.

Cell and atoms, written as Quantum ESPRESSO input:
```
&SYSTEM
  ibrav = 0, nat = 12, ntyp = 3
/
ATOMIC_SPECIES
Sm 150.36 Sm.upf
Dy 162.50 Dy.upf
C 12.01 C.upf
CELL_PARAMETERS angstrom
-5.5269 1.4195 0.3368
-4.3803 -5.0258 -2.1917
-3.4980 -3.3200 5.0981
ATOMIC_POSITIONS crystal
Sm 0.7500 0.7148 0.7852
Sm 0.2500 0.2852 0.2148
Dy 0.0766 0.0907 0.7561
Dy 0.5766 0.2561 0.5907
Dy 0.4234 0.7439 0.4093
Dy 0.9234 0.9093 0.2439
C 0.3806 0.0000 0.0000
C 0.6194 0.0000 0.0000
C 0.1194 0.5000 0.5000
C 0.0000 0.0000 0.5000
C 0.5000 0.0000 0.5000
C 0.8806 0.5000 0.5000
```

Results
- crystal system = orthorhombic
- DFT formation energy (eV/atom) = -0.058
- density of states at the Fermi level (states/eV per atom) = 0.502
- mass density (g/cm³) = 7.60
- volume (Å³/atom) = 18.615



(2)
DFT (GGA-PBE) results for crystalline Sr3Ni at its relaxed geometry. Values from VASP.

Cell and atoms, written as Quantum ESPRESSO input:
```
&SYSTEM
  ibrav = 0, nat = 8, ntyp = 2
/
ATOMIC_SPECIES
Sr 87.62 Sr.upf
Ni 58.69 Ni.upf
CELL_PARAMETERS angstrom
-6.2721 1.0493 -7.9003
-3.0914 -4.9237 8.3099
-1.3954 3.5393 1.5779
ATOMIC_POSITIONS crystal
Sr 0.7921 0.5841 0.2500
Sr 0.4159 0.2079 0.2500
Sr 0.7921 0.2079 0.2500
Sr 0.2079 0.4159 0.7500
Sr 0.5841 0.7921 0.7500
Sr 0.2079 0.7921 0.7500
Ni 0.3333 0.6667 0.2500
Ni 0.6667 0.3333 0.7500
```

Results
- crystal system = hexagonal
- DFT formation energy (eV/atom) = 0.212
- density of states at the Fermi level (states/eV per atom) = 0.962
- mass density (g/cm³) = 2.91
- volume (Å³/atom) = 45.858



(3)
DFT (GGA-PBE) results for crystalline CeYP2Rh5 at its relaxed geometry. Values from VASP.

Cell and atoms, written as Quantum ESPRESSO input:
```
&SYSTEM
  ibrav = 0, nat = 9, ntyp = 4
/
ATOMIC_SPECIES
Ce 140.12 Ce.upf
Y 88.91 Y.upf
P 30.97 P.upf
Rh 102.91 Rh.upf
CELL_PARAMETERS angstrom
4.0339 0.0000 0.0000
0.0000 4.0339 0.0000
0.0000 0.0000 10.8139
ATOMIC_POSITIONS crystal
Ce 0.0000 0.0000 0.5000
Y 0.0000 0.0000 0.0000
P 0.5000 0.5000 0.2888
P 0.5000 0.5000 0.7112
Rh 0.0000 0.5000 0.1963
Rh 0.5000 0.0000 0.1963
Rh 0.0000 0.5000 0.8037
Rh 0.5000 0.0000 0.8037
Rh 0.5000 0.5000 0.5000
```

Results
- crystal system = tetragonal
- DFT formation energy (eV/atom) = -0.768
- density of states at the Fermi level (states/eV per atom) = 0.857
- mass density (g/cm³) = 7.60
- volume (Å³/atom) = 19.552



(4)
DFT (GGA-PBE) results for crystalline Pr3Al2BOs3 at its relaxed geometry. Values from VASP.

Cell and atoms, written as Quantum ESPRESSO input:
```
&SYSTEM
  ibrav = 0, nat = 9, ntyp = 4
/
ATOMIC_SPECIES
Pr 140.91 Pr.upf
Al 26.98 Al.upf
B 10.81 B.upf
Os 190.23 Os.upf
CELL_PARAMETERS angstrom
-1.6997 -2.8143 -1.6879
2.2547 -4.5835 5.3717
-6.4828 3.5394 0.6267
ATOMIC_POSITIONS crystal
Pr 0.0000 0.0000 0.3685
Pr 0.0000 0.6315 0.6315
Pr 0.0000 0.3685 0.0000
Al 0.5000 0.3333 0.6667
Al 0.5000 0.6667 0.3333
B 0.0000 0.0000 0.0000
Os 0.5000 0.7785 0.0000
Os 0.5000 0.2215 0.2215
Os 0.5000 0.0000 0.7785
```

Results
- crystal system = hexagonal
- DFT formation energy (eV/atom) = 0.061
- density of states at the Fermi level (states/eV per atom) = 0.826
- mass density (g/cm³) = 9.99
- volume (Å³/atom) = 19.540



(5)
DFT (GGA-PBE) results for crystalline MnZnPt3 at its relaxed geometry. Values from VASP.

Cell and atoms, written as Quantum ESPRESSO input:
```
&SYSTEM
  ibrav = 0, nat = 10, ntyp = 3
/
ATOMIC_SPECIES
Mn 54.94 Mn.upf
Zn 65.41 Zn.upf
Pt 195.08 Pt.upf
CELL_PARAMETERS angstrom
4.4374 0.0130 1.3617
1.1560 4.4807 0.3654
0.0940 -0.0006 7.5751
ATOMIC_POSITIONS crystal
Mn 0.3540 0.3445 0.0101
Mn 0.0570 0.8444 0.6045
Zn 0.8547 0.8442 0.0092
Zn 0.5563 0.3446 0.6054
Pt 0.1498 0.3440 0.4194
Pt 0.9559 0.3442 0.8064
Pt 0.6484 0.8439 0.4219
Pt 0.7628 0.3448 0.1926
Pt 0.2614 0.8447 0.1951
Pt 0.4553 0.8446 0.8082
```

Results
- crystal system = triclinic
- DFT formation energy (eV/atom) = -0.391
- density of states at the Fermi level (states/eV per atom) = 0.678
- distance to the lowest polymorph of the same formula (eV/atom) = 0.000
- mass density (g/cm³) = 15.63
- volume (Å³/atom) = 14.993



(6)
DFT (GGA-PBE) results for crystalline ZnCd2Si at its relaxed geometry. Values from VASP.

Cell and atoms, written as Quantum ESPRESSO input:
```
&SYSTEM
  ibrav = 0, nat = 4, ntyp = 3
/
ATOMIC_SPECIES
Cd 112.41 Cd.upf
Si 28.09 Si.upf
Zn 65.41 Zn.upf
CELL_PARAMETERS angstrom
-4.1207 -0.4052 0.0031
0.2867 -2.9176 -0.2538
0.3350 -3.3609 6.0749
ATOMIC_POSITIONS crystal
Cd 0.0000 0.0059 0.9965
Cd 0.0000 0.4941 0.5035
Si 0.5000 0.2500 0.2500
Zn 0.5000 0.7500 0.7500
```

Results
- crystal system = monoclinic
- density of states at the Fermi level (states/eV per atom) = 0.394
- distance to the lowest polymorph of the same formula (eV/atom) = 0.060
- mass density (g/cm³) = 6.84
- raw formation energy (meV/atom) = 283
- volume (Å³/atom) = 19.323



(7)
DFT (GGA-PBE) results for crystalline BaCu2SnTe4 at its relaxed geometry. Values from VASP.

Cell and atoms, written as Quantum ESPRESSO input:
```
&SYSTEM
  ibrav = 0, nat = 8, ntyp = 4
/
ATOMIC_SPECIES
Ba 137.33 Ba.upf
Cu 63.55 Cu.upf
Sn 118.71 Sn.upf
Te 127.60 Te.upf
CELL_PARAMETERS angstrom
-2.7407 -2.3105 6.2468
3.8639 -4.1800 4.3011
1.1584 3.6598 6.0138
ATOMIC_POSITIONS crystal
Ba 0.0000 0.0000 0.0000
Cu 0.1458 0.3542 0.3542
Cu 0.8542 0.6458 0.6458
Sn 0.5000 0.5000 0.5000
Te 0.4475 0.1346 0.5034
Te 0.0855 0.8654 0.4966
Te 0.9145 0.5034 0.1346
Te 0.5525 0.4966 0.8654
```

Results
- crystal system = orthorhombic
- density of states at the Fermi level (states/eV per atom) = 0.020
- mass density (g/cm³) = 5.44
- raw formation energy (meV/atom) = -482
- volume (Å³/atom) = 34.100



(8)
DFT (GGA-PBE) results for crystalline Sc2VReN at its relaxed geometry. Values from VASP.

Cell and atoms, written as Quantum ESPRESSO input:
```
&SYSTEM
  ibrav = 0, nat = 5, ntyp = 4
/
ATOMIC_SPECIES
Sc 44.96 Sc.upf
Re 186.21 Re.upf
N 14.01 N.upf
V 50.94 V.upf
CELL_PARAMETERS angstrom
-2.8771 -3.3010 -2.1900
3.0662 -0.7449 -2.9055
1.8557 -3.5144 2.8593
ATOMIC_POSITIONS crystal
Sc 0.0000 0.0000 0.5000
Sc 0.5000 0.0000 0.0000
Re 0.0000 0.5000 0.0000
N 0.5000 0.5000 0.5000
V 0.0000 0.0000 0.0000
```

Results
- crystal system = tetragonal
- density of states at the Fermi level (states/eV per atom) = 1.066
- distance to the lowest polymorph of the same formula (eV/atom) = 0.847
- mass density (g/cm³) = 5.51
- raw formation energy (meV/atom) = 1645
- volume (Å³/atom) = 20.563



Question: Look up the density of states at the Fermi level of the fifth one.
Answer: 0.678 states/eV per atom



Question: mass density of number 4 (Pr3Al2BOs3)?
Answer: 9.99 g/cm³